Entry 1:
YBe2V | PBE | optimized geometry

Cell and atoms, written as POSCAR:
```
YBe2V
1.0
0.0000 3.1526 3.1526
3.1526 0.0000 3.1526
3.1526 3.1526 0.0000
Y Be V
1 2 1
Cartesian
0.0000 0.0000 0.0000
1.5763 1.5763 1.5763
4.7289 4.7289 4.7289
3.1526 3.1526 3.1526
```

## Properties
calculated density	4.183	Mg/m³
total moment	2.49	μB per formula unit
energy above the lowest structure with this stoichiometry	0	meV/atom
volume	15.7	A^3/atom
energy relative to the elements	111	kJ/mol of formula units

***

Entry 2:
BeV2Zn | PBE | optimized geometry

Cell and atoms, written as POSCAR:
```
BeV2Zn
1.0
3.5347 0.0000 0.0000
0.0000 3.5347 0.0000
0.0000 0.0000 3.9416
Be V Zn
1 2 1
Cartesian
0.0000 0.0000 0.0000
0.0000 1.7674 1.9708
1.7674 0.0000 1.9708
1.7674 1.7674 0.0000
```

## Properties
calculated density	5.945	Mg/m³
total moment	0.00	μB per formula unit
energy above the lowest structure with this stoichiometry	71	meV/atom
volume	12.3	A^3/atom
energy relative to the elements	1	kJ/mol of formula units